A relaxed structure of PmAl2ZnAu. Source: the Alexandria database, functional PBE.

Output
Electronic total energy: -3.89 eV/atom
SG: I-4m2, No. 119
DFT formation energy: -0.53 eV per atom

Cell lengths 4.3477, 4.3477, 6.1268 Å; angles 110.78, 110.78, 90.00 degrees
Fractional positions:
Al 0.3803 0.3803 0.7606
Al 0.6197 0.6197 0.2394
Au 0.7500 0.2500 0.5000
Pm 0.0000 0.0000 0.0000
Zn 0.2500 0.7500 0.5000